Entry 1:
ZrTlOs2Au: optimized geometry, PBE.

Cell: 4.933 5.008 4.933 Å, 90.00 90.00 90.00°
Sites, in units of the cell vectors:
1 Os 0.500 0.000 0.000
2 Os 0.000 0.000 0.500
3 Tl 0.500 0.500 0.500
4 Zr 0.000 0.500 0.000
5 Au 0.000 0.000 0.000

## Properties
Symmetry = No. 123
Density of states at the Fermi level = 6.851 states/eV per cell
Raw total energy = -5.49 eV per atom
Total magnetic moment = 1.495 μB/f.u.

***

Entry 2:
Tm5OsAu2: optimized geometry, PBE.

Cell: 4.739 6.913 11.732 Å, 90.00 90.00 90.00°
Sites, in units of the cell vectors:
1 Tm 0.000 0.349 0.290
2 Tm 0.000 0.651 0.710
3 Tm 0.000 0.500 0.000
4 Tm 0.000 0.849 0.210
5 Tm 0.000 0.151 0.790
6 Tm 0.500 0.326 0.589
7 Tm 0.000 0.000 0.500
8 Tm 0.500 0.174 0.089
9 Tm 0.500 0.674 0.411
10 Tm 0.500 0.826 0.911
11 Au 0.500 0.076 0.340
12 Au 0.500 0.424 0.840
13 Au 0.500 0.576 0.160
14 Au 0.500 0.924 0.660
15 Os 0.000 0.000 0.000
16 Os 0.000 0.500 0.500

## Properties
Symmetry = No. 55
Density of states at the Fermi level = 12.969 states/eV per cell
Raw total energy = -5.61 eV per atom
Total magnetic moment = 0.000 μB/f.u.

***

Entry 3:
Tm2OsAu: optimized geometry, PBE.

Cell: 4.872 4.880 4.872 Å, 60.03 89.97 60.03°
Sites, in units of the cell vectors:
1 Tm 0.500 0.000 0.500
2 Tm 0.000 0.000 0.000
3 Os 0.250 0.500 0.750
4 Au 0.750 0.500 0.250

## Properties
Symmetry = No. 139
Density of states at the Fermi level = 3.066 states/eV per cell
Raw total energy = -6.41 eV per atom
Total magnetic moment = 0.000 μB/f.u.

***

Entry 4:
Tm8OsAu2: optimized geometry, PBE.

Cell: 5.060 6.779 8.924 Å, 107.67 106.47 90.00°
Sites, in units of the cell vectors:
1 Tm 0.028 0.797 0.057
2 Tm 0.972 0.203 0.943
3 Tm 0.408 0.567 0.816
4 Tm 0.199 0.303 0.397
5 Tm 0.662 0.964 0.324
6 Tm 0.338 0.036 0.676
7 Tm 0.801 0.697 0.603
8 Tm 0.592 0.433 0.184
9 Au 0.817 0.293 0.633
10 Au 0.183 0.707 0.367
11 Os 0.500 0.000 0.000

## Properties
Symmetry = No. 12
Density of states at the Fermi level = 7.272 states/eV per cell
Raw total energy = -5.31 eV per atom
Total magnetic moment = 0.000 μB/f.u.

***

Entry 5:
Tm8OsAu2: optimized geometry, PBE.

Cell: 5.878 7.995 7.995 Å, 119.15 102.75 102.75°
Sites, in units of the cell vectors:
1 Os 0.162 0.000 0.000
2 Tm 0.599 0.343 0.107
3 Tm 0.185 0.355 0.355
4 Tm 0.341 0.897 0.657
5 Tm 0.980 0.185 0.800
6 Tm 0.980 0.800 0.185
7 Tm 0.784 0.647 0.647
8 Tm 0.599 0.107 0.343
9 Tm 0.341 0.657 0.897
10 Au 0.514 0.319 0.722
11 Au 0.514 0.722 0.319

## Properties
Symmetry = No. 8
Density of states at the Fermi level = 12.094 states/eV per cell
Raw total energy = -5.19 eV per atom
Total magnetic moment = 0.000 μB/f.u.

***

Entry 6:
Tm4OsAu: optimized geometry, PBE.

Cell: 6.158 7.418 7.418 Å, 112.70 98.05 98.05°
Sites, in units of the cell vectors:
1 Os 0.750 0.001 0.999
2 Os 0.250 0.999 0.001
3 Tm 0.962 0.071 0.723
4 Tm 0.580 0.218 0.367
5 Tm 0.462 0.723 0.071
6 Tm 0.038 0.929 0.277
7 Tm 0.920 0.633 0.782
8 Tm 0.538 0.277 0.929
9 Tm 0.420 0.782 0.633
10 Tm 0.080 0.367 0.218
11 Au 0.750 0.629 0.371
12 Au 0.250 0.371 0.629

## Properties
Symmetry = No. 15
Density of states at the Fermi level = 10.340 states/eV per cell
Raw total energy = -5.90 eV per atom
Total magnetic moment = 0.000 μB/f.u.

***

Entry 7:
Tm4OsAu: optimized geometry, PBE.

Cell: 4.803 4.803 6.846 Å, 89.96 89.98 90.00°
Sites, in units of the cell vectors:
1 Tm 0.001 0.497 0.261
2 Tm 0.501 0.997 0.260
3 Tm 0.501 0.998 0.736
4 Tm 0.001 0.498 0.736
5 Au 0.501 0.497 0.998
6 Os 0.001 0.997 0.498

## Properties
Symmetry = No. 123
Density of states at the Fermi level = 5.097 states/eV per cell
Raw total energy = -5.82 eV per atom
Total magnetic moment = 0.000 μB/f.u.

***

Entry 8:
Tm4OsAu3: optimized geometry, PBE.

Cell: 3.469 3.469 14.310 Å, 90.00 90.00 90.00°
Sites, in units of the cell vectors:
1 Au 0.500 0.500 0.248
2 Au 0.500 0.500 0.752
3 Au 0.500 0.500 0.500
4 Tm 0.000 0.000 0.114
5 Tm 0.000 0.000 0.372
6 Tm 0.000 0.000 0.628
7 Tm 0.000 0.000 0.886
8 Os 0.500 0.500 0.000

## Properties
Symmetry = No. 123
Density of states at the Fermi level = 5.028 states/eV per cell
Raw total energy = -5.61 eV per atom
Total magnetic moment = 0.000 μB/f.u.

***

Entry 9:
Tm2OsAu: optimized geometry, PBE.

Cell: 3.379 3.379 7.271 Å, 90.00 90.00 90.00°
Sites, in units of the cell vectors:
1 Os 0.500 0.500 0.000
2 Tm 0.000 0.000 0.227
3 Tm 0.000 0.000 0.773
4 Au 0.500 0.500 0.500

## Properties
Symmetry = No. 123
Density of states at the Fermi level = 1.858 states/eV per cell
Raw total energy = -6.48 eV per atom
Total magnetic moment = 0.000 μB/f.u.

***

Entry 10:
TmZrOsAu: optimized geometry, PBE.

Cell: 4.816 4.816 4.816 Å, 60.00 60.00 60.00°
Sites, in units of the cell vectors:
1 Au 0.000 0.000 0.000
2 Os 0.500 0.500 0.500
3 Tm 0.250 0.250 0.250
4 Zr 0.750 0.750 0.750

## Properties
Symmetry = No. 216
Density of states at the Fermi level = 3.560 states/eV per cell
Raw total energy = -7.34 eV per atom
Total magnetic moment = 0.000 μB/f.u.

***

Entry 11:
UOsAu: optimized geometry, PBE.

Cell: 3.874 3.894 9.292 Å, 90.23 114.72 90.00°
Sites, in units of the cell vectors:
1 Au 0.844 0.746 0.595
2 Au 0.156 0.254 0.405
3 U 0.477 0.753 0.226
4 U 0.523 0.247 0.774
5 Os 0.250 0.250 0.000
6 Os 0.750 0.750 0.000

## Properties
Symmetry = No. 2
Density of states at the Fermi level = 11.724 states/eV per cell
Raw total energy = -8.49 eV per atom
Total magnetic moment = 0.942 μB/f.u.

***

Entry 12:
V2OsAu: optimized geometry, PBE.

Cell: 2.865 2.865 7.288 Å, 90.00 90.00 90.00°
Sites, in units of the cell vectors:
1 V 0.000 0.000 0.225
2 V 0.000 0.000 0.775
3 Os 0.500 0.500 0.000
4 Au 0.500 0.500 0.500

## Properties
Symmetry = No. 123
Density of states at the Fermi level = 5.076 states/eV per cell
Raw total energy = -8.25 eV per atom
Total magnetic moment = 0.000 μB/f.u.

***

Please write out number 12 again, unchanged.
V2OsAu: optimized geometry, PBE.

Cell: 2.865 2.865 7.288 Å, 90.00 90.00 90.00°
Sites, in units of the cell vectors:
1 V 0.000 0.000 0.225
2 V 0.000 0.000 0.775
3 Os 0.500 0.500 0.000
4 Au 0.500 0.500 0.500

## Properties
Symmetry = No. 123
Density of states at the Fermi level = 5.076 states/eV per cell
Raw total energy = -8.25 eV per atom
Total magnetic moment = 0.000 μB/f.u.

***

What did the twelfth record say?
V2OsAu: optimized geometry, PBE.

Cell: 2.865 2.865 7.288 Å, 90.00 90.00 90.00°
Sites, in units of the cell vectors:
1 V 0.000 0.000 0.225
2 V 0.000 0.000 0.775
3 Os 0.500 0.500 0.000
4 Au 0.500 0.500 0.500

## Properties
Symmetry = No. 123
Density of states at the Fermi level = 5.076 states/eV per cell
Raw total energy = -8.25 eV per atom
Total magnetic moment = 0.000 μB/f.u.

***

Which value of total magnetic moment does entry 12 give?
0.000 μB/f.u.

***

Please write out number 11 again, unchanged.
UOsAu: optimized geometry, PBE.

Cell: 3.874 3.894 9.292 Å, 90.23 114.72 90.00°
Sites, in units of the cell vectors:
1 Au 0.844 0.746 0.595
2 Au 0.156 0.254 0.405
3 U 0.477 0.753 0.226
4 U 0.523 0.247 0.774
5 Os 0.250 0.250 0.000
6 Os 0.750 0.750 0.000

## Properties
Symmetry = No. 2
Density of states at the Fermi level = 11.724 states/eV per cell
Raw total energy = -8.49 eV per atom
Total magnetic moment = 0.942 μB/f.u.